(1)
A plane-wave DFT calculation with PBE-GGA was carried out for crystalline Dy6HoEr2 at its relaxed geometry.

The structure in POSCAR format:
```
Dy6HoEr2
1.0
3.504 0.292 0.267
-0.045 6.040 -6.157
0.759 0.599 12.657
Dy Ho Er
6 1 2
Direct
0.778 0.110 0.444 Dy
0.889 0.555 0.221 Dy
0.111 0.445 0.779 Dy
0.222 0.890 0.556 Dy
0.667 0.667 0.667 Dy
0.333 0.333 0.333 Dy
0.000 0.000 0.000 Ho
0.444 0.777 0.111 Er
0.556 0.223 0.889 Er
```

Space-group type = No. 2
Calculated formation energy = 1.77 kJ per mole of atoms
Fermi-level density of states = 1.35 states/eV per atom
Raw total energy = -4.5723 eV/atom

(2)
A plane-wave DFT calculation with PBE-GGA was carried out for crystalline DyHo6Er at its relaxed geometry.

The structure in POSCAR format:
```
DyHo6Er
1.0
-4.849 0.895 -3.577
-1.400 -2.100 -5.541
-9.954 -4.499 2.010
Dy Ho Er
1 6 1
Direct
0.000 0.000 0.000 Dy
0.374 0.125 0.375 Ho
0.750 0.250 0.750 Ho
0.250 0.750 0.250 Ho
0.626 0.875 0.625 Ho
0.125 0.375 0.125 Ho
0.875 0.625 0.875 Ho
0.500 0.500 0.500 Er
```

E above lowest polymorph = 0.0000 eV per atom
Space-group type = No. 2
Calculated formation energy = 1.79 kJ per mole of atoms
Fermi-level density of states = 1.26 states/eV per atom
Raw total energy = -4.5604 eV/atom

(3)
A plane-wave DFT calculation with PBE-GGA was carried out for crystalline Dy6HoEr4 at its relaxed geometry.

The structure in POSCAR format:
```
Dy6HoEr4
1.0
6.491 0.000 0.000
0.000 6.491 0.000
-3.246 -3.246 8.479
Er Dy Ho
4 6 1
Direct
0.048 0.689 0.737 Er
0.311 0.311 0.263 Er
0.689 0.048 0.737 Er
0.952 0.952 0.263 Er
0.500 0.000 0.000 Dy
0.513 0.513 0.653 Dy
0.140 0.140 0.653 Dy
0.860 0.487 0.347 Dy
0.000 0.500 0.000 Dy
0.487 0.860 0.347 Dy
0.500 0.500 0.000 Ho
```

E above lowest polymorph = 0.1809 eV per atom
Space-group type = No. 121
Calculated formation energy = 29.94 kJ per mole of atoms
Fermi-level density of states = 1.27 states/eV per atom
Raw total energy = -4.2753 eV/atom

(4)
A plane-wave DFT calculation with PBE-GGA was carried out for crystalline DyHo4Er8 at its relaxed geometry.

The structure in POSCAR format:
```
DyHo4Er8
1.0
-4.427 2.820 -4.928
5.182 -4.575 -2.014
-4.414 -7.238 5.083
Er Ho Dy
8 4 1
Direct
0.054 0.804 0.303 Er
0.567 0.784 0.351 Er
0.946 0.751 0.697 Er
0.946 0.196 0.697 Er
0.499 0.249 0.303 Er
0.433 0.216 0.649 Er
0.054 0.249 0.303 Er
0.501 0.751 0.697 Er
0.500 0.000 0.000 Ho
0.500 0.500 0.000 Ho
0.000 0.500 0.000 Ho
0.000 0.000 0.000 Ho
0.000 0.500 0.500 Dy
```

Space-group type = No. 166
Calculated formation energy = 21.84 kJ per mole of atoms
Fermi-level density of states = 1.25 states/eV per atom
Raw total energy = -4.3442 eV/atom

(5)
A plane-wave DFT calculation with PBE-GGA was carried out for crystalline DyHoEr at its relaxed geometry.

The structure in POSCAR format:
```
DyHoEr
1.0
-0.147 2.193 2.702
-4.233 -2.118 3.720
6.512 -5.111 4.559
Dy Ho Er
2 2 2
Direct
0.593 0.362 0.447 Dy
0.853 0.830 0.593 Dy
0.858 0.830 0.949 Ho
0.587 0.362 0.092 Ho
0.132 0.278 0.770 Er
0.313 0.913 0.270 Er
```

E above lowest polymorph = 0.1014 eV per atom
Space-group type = No. 2
Calculated formation energy = 11.87 kJ per mole of atoms
Fermi-level density of states = 1.75 states/eV per atom
Raw total energy = -4.4579 eV/atom

(6)
A plane-wave DFT calculation with PBE-GGA was carried out for crystalline DyHo12Er2 at its relaxed geometry.

The structure in POSCAR format:
```
DyHo12Er2
1.0
6.372 -1.437 -0.517
-1.437 6.372 -0.517
-1.232 -1.232 24.540
Ho Er Dy
24 4 2
Direct
0.604 0.104 0.138 Ho
0.503 0.503 0.670 Ho
0.818 0.318 0.425 Ho
0.318 0.818 0.425 Ho
0.333 0.333 0.445 Ho
0.104 0.604 0.138 Ho
0.944 0.944 0.926 Ho
0.396 0.896 0.862 Ho
0.497 0.497 0.330 Ho
0.003 0.003 0.670 Ho
0.444 0.444 0.926 Ho
0.997 0.997 0.330 Ho
0.833 0.833 0.445 Ho
0.167 0.167 0.555 Ho
0.556 0.556 0.074 Ho
0.182 0.682 0.575 Ho
0.056 0.056 0.074 Ho
0.098 0.098 0.798 Ho
0.402 0.402 0.202 Ho
0.896 0.396 0.862 Ho
0.682 0.182 0.575 Ho
0.902 0.902 0.202 Ho
0.667 0.667 0.555 Ho
0.598 0.598 0.798 Ho
0.954 0.454 0.272 Er
0.454 0.954 0.272 Er
0.046 0.546 0.728 Er
0.546 0.046 0.728 Er
0.500 0.000 0.000 Dy
0.000 0.500 0.000 Dy
```

Space-group type = No. 10
Calculated formation energy = 11.56 kJ per mole of atoms
Fermi-level density of states = 1.62 states/eV per atom
Raw total energy = -4.4576 eV/atom

(7)
A plane-wave DFT calculation with PBE-GGA was carried out for crystalline Dy2Ho12Er5 at its relaxed geometry.

The structure in POSCAR format:
```
Dy2Ho12Er5
1.0
-3.119 -0.290 5.619
-3.978 -7.711 -1.175
11.051 -0.635 4.011
Er Ho Dy
5 12 2
Direct
0.488 0.671 0.782 Er
0.197 0.710 0.200 Er
0.000 0.000 0.500 Er
0.512 0.329 0.218 Er
0.803 0.290 0.800 Er
0.945 0.113 0.269 Ho
0.055 0.887 0.731 Ho
0.475 0.065 0.364 Ho
0.525 0.935 0.636 Ho
0.031 0.630 0.870 Ho
0.705 0.690 0.359 Ho
0.969 0.370 0.130 Ho
0.668 0.703 0.076 Ho
0.777 0.444 0.541 Ho
0.295 0.310 0.641 Ho
0.223 0.556 0.459 Ho
0.332 0.297 0.924 Ho
0.265 0.984 0.041 Dy
0.735 0.016 0.959 Dy
```

E above lowest polymorph = 0.0000 eV per atom
Space-group type = No. 2
Calculated formation energy = 8.88 kJ per mole of atoms
Fermi-level density of states = 1.44 states/eV per atom
Raw total energy = -4.4844 eV/atom

(8)
A plane-wave DFT calculation with PBE-GGA was carried out for crystalline DyHo6Er at its relaxed geometry.

The structure in POSCAR format:
```
DyHo6Er
1.0
6.238 -0.205 2.375
-0.080 6.446 0.806
1.046 0.732 6.741
Ho Dy Er
6 1 1
Direct
0.906 0.231 0.520 Ho
0.572 0.730 0.522 Ho
0.094 0.769 0.480 Ho
0.428 0.270 0.478 Ho
0.549 0.750 0.000 Ho
0.451 0.250 0.000 Ho
0.000 0.000 0.000 Dy
0.000 0.500 0.000 Er
```

E above lowest polymorph = 0.1919 eV per atom
Space-group type = No. 2
Calculated formation energy = 20.30 kJ per mole of atoms
Fermi-level density of states = 1.76 states/eV per atom
Raw total energy = -4.3685 eV/atom

(9)
A plane-wave DFT calculation with PBE-GGA was carried out for crystalline Dy2HoEr9 at its relaxed geometry.

The structure in POSCAR format:
```
Dy2HoEr9
1.0
-1.286 0.119 -4.787
-4.764 -0.531 1.267
-1.447 14.786 0.755
Ho Er Dy
1 9 2
Direct
0.000 0.000 0.000 Ho
0.500 0.500 0.667 Er
0.500 0.500 0.333 Er
0.500 0.500 0.000 Er
0.000 0.500 0.166 Er
0.000 0.500 0.500 Er
0.500 0.000 0.500 Er
0.000 0.500 0.834 Er
0.500 0.000 0.166 Er
0.500 0.000 0.834 Er
0.000 0.000 0.333 Dy
0.000 0.000 0.667 Dy
```

E above lowest polymorph = 0.0000 eV per atom
Space-group type = No. 123
Calculated formation energy = 2.24 kJ per mole of atoms
Fermi-level density of states = 1.43 states/eV per atom
Raw total energy = -4.5474 eV/atom

(10)
A plane-wave DFT calculation with PBE-GGA was carried out for crystalline Dy4HoEr2 at its relaxed geometry.

The structure in POSCAR format:
```
Dy4HoEr2
1.0
6.076 0.000 -0.311
0.000 6.485 0.000
-2.436 0.000 11.170
Dy Ho Er
8 2 4
Direct
0.651 0.504 0.288 Dy
0.853 0.250 0.556 Dy
0.349 0.004 0.712 Dy
0.651 0.996 0.288 Dy
0.026 0.750 0.858 Dy
0.147 0.750 0.444 Dy
0.349 0.496 0.712 Dy
0.974 0.250 0.142 Dy
0.158 0.750 0.159 Ho
0.842 0.250 0.841 Ho
0.394 0.250 0.003 Er
0.606 0.750 0.997 Er
0.289 0.250 0.428 Er
0.711 0.750 0.572 Er
```

E above lowest polymorph = 0.1023 eV per atom
Space-group type = No. 11
Calculated formation energy = 13.55 kJ per mole of atoms
Fermi-level density of states = 1.68 states/eV per atom
Raw total energy = -4.4470 eV/atom

(11)
A plane-wave DFT calculation with PBE-GGA was carried out for crystalline DyHo3Er3 at its relaxed geometry.

The structure in POSCAR format:
```
DyHo3Er3
1.0
-0.890 3.922 3.870
-3.067 -6.645 6.028
9.192 2.313 -0.229
Ho Dy Er
6 2 6
Direct
0.250 0.238 0.191 Ho
0.750 0.762 0.809 Ho
0.750 0.048 0.238 Ho
0.250 0.810 0.048 Ho
0.250 0.952 0.762 Ho
0.750 0.190 0.952 Ho
0.250 0.667 0.333 Dy
0.750 0.333 0.667 Dy
0.250 0.524 0.619 Er
0.750 0.476 0.381 Er
0.750 0.905 0.524 Er
0.250 0.381 0.905 Er
0.750 0.619 0.095 Er
0.250 0.095 0.476 Er
```

E above lowest polymorph = 0.0000 eV per atom
Space-group type = No. 176
Calculated formation energy = 0.47 kJ per mole of atoms
Fermi-level density of states = 2.12 states/eV per atom
Raw total energy = -4.5700 eV/atom

(12)
A plane-wave DFT calculation with PBE-GGA was carried out for crystalline DyHo4Er3 at its relaxed geometry.

The structure in POSCAR format:
```
DyHo4Er3
1.0
-6.138 -0.964 0.258
0.560 -4.952 -5.188
1.560 -7.874 7.684
Er Dy Ho
6 2 8
Direct
0.981 0.625 0.250 Er
0.481 0.375 0.750 Er
0.981 0.625 0.750 Er
0.648 0.625 0.000 Er
0.481 0.375 0.250 Er
0.148 0.375 0.500 Er
0.648 0.625 0.500 Dy
0.148 0.375 0.000 Dy
0.481 0.875 0.751 Ho
0.648 0.125 0.000 Ho
0.647 0.125 0.500 Ho
0.981 0.125 0.251 Ho
0.981 0.125 0.749 Ho
0.481 0.875 0.249 Ho
0.148 0.875 0.500 Ho
0.147 0.875 0.000 Ho
```

E above lowest polymorph = 0.0000 eV per atom
Space-group type = No. 31
Calculated formation energy = 0.08 kJ per mole of atoms
Fermi-level density of states = 1.59 states/eV per atom
Raw total energy = -4.5744 eV/atom

(13)
A plane-wave DFT calculation with PBE-GGA was carried out for crystalline Dy7Ho6Er16 at its relaxed geometry.

The structure in POSCAR format:
```
Dy7Ho6Er16
1.0
-7.595 7.919 -0.620
-8.565 -0.049 6.887
-0.711 7.567 7.939
Ho Er Dy
6 16 7
Direct
0.724 0.276 0.724 Ho
0.724 0.276 0.276 Ho
0.276 0.276 0.724 Ho
0.276 0.724 0.724 Ho
0.276 0.724 0.276 Ho
0.724 0.724 0.276 Ho
0.877 0.370 0.877 Er
0.123 0.123 0.630 Er
0.348 0.955 0.348 Er
0.955 0.348 0.348 Er
0.045 0.652 0.652 Er
0.652 0.652 0.652 Er
0.877 0.877 0.877 Er
0.348 0.348 0.348 Er
0.630 0.123 0.123 Er
0.652 0.045 0.652 Er
0.348 0.348 0.955 Er
0.370 0.877 0.877 Er
0.652 0.652 0.045 Er
0.123 0.123 0.123 Er
0.877 0.877 0.370 Er
0.123 0.630 0.123 Er
0.000 0.000 0.500 Dy
0.500 0.000 0.000 Dy
0.000 0.500 0.500 Dy
0.500 0.000 0.500 Dy
0.000 0.500 0.000 Dy
0.500 0.500 0.000 Dy
0.000 0.000 0.000 Dy
```

Space-group type = No. 225
Calculated formation energy = 24.67 kJ per mole of atoms
Fermi-level density of states = 2.10 states/eV per atom
Raw total energy = -4.3197 eV/atom

(14)
A plane-wave DFT calculation with PBE-GGA was carried out for crystalline Dy5Ho2Er3 at its relaxed geometry.

The structure in POSCAR format:
```
Dy5Ho2Er3
1.0
8.887 -1.685 -2.608
-2.932 8.517 -2.775
-0.434 -0.360 9.383
Dy Ho Er
10 4 6
Direct
0.642 0.854 0.246 Dy
0.358 0.146 0.754 Dy
0.520 0.770 0.541 Dy
0.222 0.472 0.945 Dy
0.480 0.230 0.459 Dy
0.896 0.608 0.754 Dy
0.026 0.276 0.552 Dy
0.104 0.392 0.246 Dy
0.778 0.528 0.055 Dy
0.974 0.724 0.448 Dy
0.719 0.266 0.253 Ho
0.034 0.988 0.253 Ho
0.966 0.012 0.747 Ho
0.281 0.734 0.747 Ho
0.490 0.537 0.758 Er
0.728 0.978 0.955 Er
0.510 0.463 0.242 Er
0.232 0.779 0.242 Er
0.768 0.221 0.758 Er
0.272 0.022 0.045 Er
```

E above lowest polymorph = 0.0000 eV per atom
Space-group type = No. 15
Calculated formation energy = 19.74 kJ per mole of atoms
Fermi-level density of states = 1.94 states/eV per atom
Raw total energy = -4.3808 eV/atom

(15)
A plane-wave DFT calculation with PBE-GGA was carried out for crystalline Dy6Ho19Er4 at its relaxed geometry.

The structure in POSCAR format:
```
Dy6Ho19Er4
1.0
10.067 0.000 -3.559
-5.034 8.719 -3.559
0.000 0.000 10.678
Dy Ho Er
6 19 4
Direct
0.628 0.500 0.128 Dy
0.372 0.500 0.872 Dy
0.128 0.628 0.500 Dy
0.872 0.372 0.500 Dy
0.500 0.872 0.372 Dy
0.500 0.128 0.628 Dy
0.341 0.017 0.803 Ho
0.803 0.341 0.017 Ho
0.461 0.676 0.659 Ho
0.197 0.214 0.539 Ho
0.324 0.786 0.983 Ho
0.261 0.261 0.000 Ho
0.676 0.659 0.461 Ho
0.017 0.803 0.341 Ho
0.000 0.261 0.261 Ho
0.739 0.000 0.739 Ho
0.000 0.739 0.739 Ho
0.786 0.983 0.324 Ho
0.261 0.000 0.261 Ho
0.739 0.739 0.000 Ho
0.000 0.000 0.000 Ho
0.983 0.324 0.786 Ho
0.214 0.539 0.197 Ho
0.539 0.197 0.214 Ho
0.659 0.461 0.676 Ho
0.000 0.000 0.643 Er
0.643 0.000 0.000 Er
0.000 0.643 0.000 Er
0.357 0.357 0.357 Er
```

Space-group type = No. 197
Calculated formation energy = 37.45 kJ per mole of atoms
Fermi-level density of states = 1.50 states/eV per atom
Raw total energy = -4.1926 eV/atom

(16)
A plane-wave DFT calculation with PBE-GGA was carried out for crystalline Dy4Ho10Er at its relaxed geometry.

The structure in POSCAR format:
```
Dy4Ho10Er
1.0
-4.849 5.870 -0.132
-5.177 0.489 -7.750
-8.391 -1.911 3.614
Dy Ho Er
4 10 1
Direct
0.400 0.801 0.400 Dy
0.201 0.400 0.199 Dy
0.799 0.600 0.801 Dy
0.600 0.199 0.600 Dy
0.349 0.701 0.101 Ho
0.951 0.899 0.701 Ho
0.750 0.500 0.500 Ho
0.551 0.101 0.299 Ho
0.850 0.701 0.101 Ho
0.449 0.899 0.701 Ho
0.651 0.299 0.899 Ho
0.049 0.101 0.299 Ho
0.150 0.299 0.899 Ho
0.250 0.500 0.500 Ho
0.000 0.000 0.000 Er
```

Space-group type = No. 87
Calculated formation energy = 70.44 kJ per mole of atoms
Fermi-level density of states = 1.02 states/eV per atom
Raw total energy = -3.8532 eV/atom

(17)
A plane-wave DFT calculation with PBE-GGA was carried out for crystalline Dy5Ho5Er at its relaxed geometry.

The structure in POSCAR format:
```
Dy5Ho5Er
1.0
6.013 0.000 0.000
-3.007 5.208 0.000
0.000 0.000 11.459
Ho Dy Er
5 5 1
Direct
0.000 0.000 0.736 Ho
0.336 0.168 0.500 Ho
0.832 0.664 0.500 Ho
0.000 0.000 0.264 Ho
0.832 0.168 0.500 Ho
0.667 0.333 0.844 Dy
0.333 0.667 0.683 Dy
0.667 0.333 0.156 Dy
0.000 0.000 0.000 Dy
0.333 0.667 0.317 Dy
0.333 0.667 0.000 Er
```

E above lowest polymorph = 0.1829 eV per atom
Space-group type = No. 187
Calculated formation energy = 32.07 kJ per mole of atoms
Fermi-level density of states = 1.85 states/eV per atom
Raw total energy = -4.2550 eV/atom

(18)
A plane-wave DFT calculation with PBE-GGA was carried out for crystalline DyHo6Er4 at its relaxed geometry.

The structure in POSCAR format:
```
DyHo6Er4
1.0
-0.537 3.521 -5.410
-6.454 -0.350 0.413
3.407 5.506 7.123
Er Dy Ho
4 1 6
Direct
0.312 0.312 0.265 Er
0.688 0.047 0.735 Er
0.953 0.953 0.265 Er
0.047 0.688 0.735 Er
0.500 0.500 0.000 Dy
0.141 0.141 0.654 Ho
0.859 0.486 0.346 Ho
0.486 0.859 0.346 Ho
0.514 0.514 0.654 Ho
0.000 0.500 0.000 Ho
0.500 0.000 0.000 Ho
```

E above lowest polymorph = 0.1826 eV per atom
Space-group type = No. 121
Calculated formation energy = 30.12 kJ per mole of atoms
Fermi-level density of states = 1.28 states/eV per atom
Raw total energy = -4.2624 eV/atom